The following is a PBE calculation of a geometry-optimized Zr2MnPbC structure, from Alexandria.

Cell and atoms, written as extended XYZ:
```
5
Lattice="4.686 0.000 0.000 0.000 4.686 0.000 0.000 0.000 3.978" Properties=species:S:1:pos:R:3 pbc="T T T"
Pb 2.343 2.343 1.989
C 0.000 0.000 0.000
Mn 0.000 0.000 1.989
Zr 0.000 2.343 0.000
Zr 2.343 0.000 0.000
```

Its symmetry is P4/mmm, No. 123. The energy of formation is -1.21 eV per formula unit. The raw total energy is -8.08 eV/atom.